[1]
The following is a PBE calculation of a geometry-optimized NaPm2PrS4 structure, from the Alexandria database.

Values from the calculation:
**SG**: P2/m (10)

POSCAR file:
```
NaPm2PrS4
1.0
4.0468 0.0000 0.0000
0.0000 7.0394 0.1414
0.0000 -2.4514 6.6143
Na Pm Pr S
1 2 1 4
Cartesian
2.0234 3.5197 0.0707
2.0234 -1.2257 3.3072
0.0000 2.2940 3.3779
0.0000 0.0000 0.0000
2.0234 1.1677 1.7141
2.0234 3.4203 5.0417
0.0000 -0.0782 4.9562
0.0000 4.6662 1.7996
```

[2]
The following is a PBE calculation of a geometry-optimized Na3Pm2PrS6 structure, from the Alexandria database.

Values from the calculation:
**SG**: C2/m (12)

POSCAR file:
```
Na3Pm2PrS6
1.0
7.1410 -0.0009 0.0011
-3.5696 6.1849 0.0011
-1.1912 -2.0625 6.6942
Na Pm Pr S
3 2 1 6
Cartesian
-2.3765 4.1206 3.3482
4.7568 0.0009 3.3482
1.1902 2.0608 3.3482
0.0006 4.1230 0.0011
3.5709 2.0610 0.0011
0.0000 0.0000 0.0000
3.5831 2.0379 5.1381
2.3679 4.1000 1.5631
-1.2028 2.0836 1.5582
-0.0255 4.1220 5.1381
0.0124 0.0215 5.1332
2.4058 -0.0005 1.5582
```

[3]
The following is a PBE calculation of a geometry-optimized NaPm3Pr2S6 structure, from the Alexandria database.

Values from the calculation:
**SG**: C2/m (12)

POSCAR file:
```
NaPm3Pr2S6
1.0
4.0539 0.0000 0.0000
0.0000 8.1469 0.2907
-2.0269 -2.3481 8.5538
Na Pm Pr S
1 3 2 6
Cartesian
2.0269 0.0000 0.0000
2.0269 4.0734 0.1453
2.0269 -0.1739 5.7857
0.0000 5.9727 3.0587
2.0269 3.8252 5.8673
0.0000 1.9736 2.9772
0.0000 5.9468 5.9550
2.0269 4.0173 2.9710
2.0269 -0.1480 2.8894
2.0269 -0.2895 8.6222
0.0000 6.0883 0.2223
0.0000 1.7814 5.8735
```

[4]
The following is a PBE calculation of a geometry-optimized Na2PmPrS4 structure, from the Alexandria database.

Values from the calculation:
**SG**: P2/m (10)

POSCAR file:
```
Na2PmPrS4
1.0
-2.9335 -0.1417 -2.9083
1.5825 -6.8691 -1.2616
-5.0048 0.4091 5.0284
Na Pm Pr S
2 1 1 4
Cartesian
-3.9692 0.1337 1.0601
-1.7112 -3.2300 1.8834
-0.6755 -3.5054 -2.0849
0.0000 0.0000 0.0000
-2.2461 -1.6776 -0.5898
-4.1098 -4.9241 1.4483
-3.4311 -1.4663 3.5324
0.0088 -4.9937 0.2344
```

[5]
The following is a PBE calculation of a geometry-optimized NaPmPr2S4 structure, from the Alexandria database.

Values from the calculation:
**SG**: P2/m (10)

POSCAR file:
```
NaPmPr2S4
1.0
-0.5746 -3.8346 1.2459
-0.0824 -2.1737 -6.7285
6.6297 -0.2016 2.4372
Na Pm Pr S
1 1 2 4
Cartesian
-0.3285 -3.0042 -2.7413
0.0000 0.0000 0.0000
3.0275 -2.0181 1.8415
3.2736 -1.1877 -2.1456
1.3084 -2.5060 -0.4530
4.6643 -3.7040 -2.5924
4.9647 -0.6904 0.1648
1.5826 -1.6849 -4.4560
```

[6]
The following is a PBE calculation of a geometry-optimized Na2PmPr3S6 structure, from the Alexandria database.

Values from the calculation:
**SG**: C2/m (12)

POSCAR file:
```
Na2PmPr3S6
1.0
7.0846 0.0018 0.0031
-3.5390 6.1374 0.0031
-1.1797 -2.0427 6.6743
Na Pm Pr S
2 1 3 6
Cartesian
0.0090 4.0883 0.0031
3.5366 2.0509 0.0031
0.0000 0.0000 0.0000
-2.3273 4.0756 3.3403
4.6932 0.0209 3.3403
1.1829 2.0482 3.3403
3.5283 2.0767 5.0276
2.3828 4.1257 1.6857
-1.1625 2.0198 1.6530
0.0354 4.0939 5.0276
-0.0169 -0.0293 4.9949
2.3305 0.0025 1.6530
```

[7]
The following is a PBE calculation of a geometry-optimized NaPm2Pr3S6 structure, from the Alexandria database.

Values from the calculation:
**SG**: C2/m (12)

POSCAR file:
```
NaPm2Pr3S6
1.0
-2.6811 0.9630 -6.4470
-3.0805 -4.4878 4.4777
-1.8875 6.1261 2.9875
Na Pm Pr S
1 2 3 6
Cartesian
0.0000 0.0000 0.0000
-2.9471 -2.6665 0.8272
-2.8146 -0.8584 -2.7966
-3.9589 -0.5323 4.1827
-3.6903 3.1335 -3.1645
-3.8246 1.3006 0.5091
-5.6910 2.8821 -1.0456
-4.7667 -1.1684 -0.7572
-1.9582 -0.2809 2.0638
-5.8241 1.0659 2.5944
-2.8824 3.7695 1.7754
-1.8251 1.5353 -1.5762
```

[8]
The following is a PBE calculation of a geometry-optimized NaPmPrSb structure, from the Alexandria database.

Values from the calculation:
**SG**: F-43m (216)

POSCAR file:
```
NaPmPrSb
1.0
-4.3606 2.8335 -1.6951
-4.9909 -1.3203 1.8072
-2.6203 3.3210 3.4673
Pr Sb Na Pm
1 1 1 1
Cartesian
-2.9929 1.2086 0.8948
-5.9859 2.4171 1.7897
0.0000 0.0000 0.0000
-8.9788 3.6257 2.6845
```

[9]
The following is a PBE calculation of a geometry-optimized Na3PmPr2Se6 structure, from the Alexandria database.

Values from the calculation:
**SG**: C2/m (12)

POSCAR file:
```
Na3PmPr2Se6
1.0
-3.6347 6.1393 -2.1199
-3.6328 -6.4731 0.5462
0.9068 1.5271 7.2232
Na Pm Pr Se
3 1 2 6
Cartesian
-3.1797 -3.6046 3.7129
-3.1810 4.7979 1.9367
-3.1804 0.5966 2.8248
0.0000 0.0000 0.0000
-3.6335 -2.2683 -0.3426
-3.6341 1.9346 -1.2311
-4.8030 2.9937 3.8820
-5.2288 0.1112 0.5297
-1.5578 -1.8004 1.7675
-4.8023 -1.1679 4.7618
-1.1319 1.0821 5.1198
-1.5584 2.3612 0.8878
```

[10]
The following is a PBE calculation of a geometry-optimized NaPmPr4Se8 structure, from the Alexandria database.

Values from the calculation:
**SG**: R3m (160)

POSCAR file:
```
NaPmPr4Se8
1.0
8.7851 0.0000 0.0000
4.3926 7.6082 0.0000
4.3926 2.5361 7.1278
Na Pm Pr Se
1 1 4 8
Cartesian
8.7851 5.0721 6.2271
4.3926 2.5361 7.0274
8.7851 5.0721 0.9034
4.3926 4.9840 3.5952
6.5125 1.3121 3.5952
2.2726 1.3121 3.5952
8.7851 7.8113 5.3035
11.1574 3.7025 5.3035
6.4129 3.7025 5.3035
4.3926 2.5361 1.9767
8.7851 2.3509 1.8183
6.4285 6.4327 1.8183
11.1417 6.4327 1.8183
13.1777 7.6082 5.1731
```

[11]
The following is a PBE calculation of a geometry-optimized Na4PmPr3Se8 structure, from the Alexandria database.

Values from the calculation:
**SG**: R-3m (166)

POSCAR file:
```
Na4PmPr3Se8
1.0
-3.9682 -4.0322 -6.4843
7.2607 -4.2333 -1.8109
-3.3107 -0.3215 7.9360
Na Pm Pr Se
4 1 3 8
Cartesian
-1.9841 -2.0161 -3.2422
-3.6394 -2.1769 0.7258
0.0000 0.0000 0.0000
-1.6553 -0.1608 3.9680
3.6303 -2.1166 -0.9054
1.6462 -4.1327 -4.1476
-0.0091 -4.2935 -0.1796
1.9750 -2.2774 3.0626
1.0930 -4.4215 4.9621
2.7637 -4.2593 0.9573
-0.7875 -2.2949 1.9090
-0.9095 -6.4563 1.6898
0.8913 -2.1307 -2.0490
0.7694 -6.2921 -2.2682
-2.7819 -4.3277 -1.3165
-1.1112 -4.1655 -5.3213
```

[12]
The following is a PBE calculation of a geometry-optimized Na3Pm2PrSe6 structure, from the Alexandria database.

Values from the calculation:
**SG**: C2/m (12)

POSCAR file:
```
Na3Pm2PrSe6
1.0
-0.1567 -4.2133 6.0893
6.2745 3.3912 -1.9963
-3.8461 5.8674 2.4591
Na Pm Pr Se
3 2 1 6
Cartesian
3.2821 5.0605 0.5777
-1.0104 -0.0152 5.9744
1.1359 2.5227 3.2760
4.1313 0.8570 0.6983
1.9866 -1.6790 3.3947
0.0000 0.0000 0.0000
0.5843 2.5851 6.3229
3.6309 0.7752 3.6170
1.6874 2.4602 0.2291
2.7500 5.1459 3.6001
-1.3592 4.2701 2.9350
-0.4783 -0.1006 2.9519
```

[13]
The following is a PBE calculation of a geometry-optimized NaPm3Pr4Se8 structure, from the Alexandria database.

Values from the calculation:
**SG**: R-3m (166)

POSCAR file:
```
NaPm3Pr4Se8
1.0
-5.8059 -6.0354 -1.2090
6.0761 -5.8965 0.2569
-0.8537 5.4707 6.3992
Na Pm Pr Se
1 3 4 8
Cartesian
3.0380 -2.9483 0.1284
0.1351 -5.9659 -0.4761
-0.2917 -3.2306 2.7235
2.6112 -0.2129 3.3280
-2.9029 -3.0177 -0.6045
-3.3298 -0.2824 2.5951
0.0000 0.0000 0.0000
-0.4268 2.7353 3.1996
2.2307 -0.4165 6.2673
2.6601 -3.1696 3.0483
-0.3384 -0.2726 2.9856
-0.6910 -3.4537 5.6588
0.1076 -3.0075 -0.2118
-0.2451 -6.1887 2.4614
-3.2436 -3.2916 2.3988
-2.8142 -6.0448 -0.8202
```

[14]
The following is a PBE calculation of a geometry-optimized NaPm2Pr3Se6 structure, from the Alexandria database.

Values from the calculation:
**SG**: C2/m (12)

POSCAR file:
```
NaPm2Pr3Se6
1.0
-5.4854 4.1344 2.5457
-1.3186 -5.1636 -5.0261
1.1417 -4.2754 5.8783
Na Pm Pr Se
1 2 3 6
Cartesian
0.0000 0.0000 0.0000
-2.7118 -2.0547 -2.4944
-4.0922 1.0255 0.0140
-1.4317 -5.7750 -0.8440
-4.2305 0.4704 4.2420
-2.8311 -2.6523 1.6990
-4.9519 -2.4615 3.8296
-4.8295 -1.7976 -0.4503
-0.7103 -2.8431 -0.4317
-3.5689 -5.5477 1.3164
-0.8327 -3.5070 3.8482
-2.0933 0.2431 2.0816
```

[15]
The following is a PBE calculation of a geometry-optimized NaPm3Pr2Se6 structure, from the Alexandria database.

Values from the calculation:
**SG**: C2/m (12)

POSCAR file:
```
NaPm3Pr2Se6
1.0
-4.1226 -0.0474 -0.8726
1.4878 -4.9010 -6.7629
0.6938 -6.0716 7.2283
Na Pm Pr Se
1 3 2 6
Cartesian
-2.0613 -0.0237 -0.4363
-1.3174 -2.4742 -3.8177
-2.7202 -4.9455 2.9444
0.7793 -6.0745 -3.3515
-1.9854 -7.2929 -0.4000
0.0444 -3.7272 -0.0071
0.4597 -8.5765 -1.7059
-1.6353 -4.8962 -2.1841
-2.4007 -2.4435 1.2988
-3.0553 -7.3472 4.6577
1.1143 -3.6728 -5.0648
-0.3057 -6.1239 1.7769
```

[16]
The following is a PBE calculation of a geometry-optimized NaPm2PrTe4 structure, from the Alexandria database.

Values from the calculation:
**SG**: P2/m (10)

POSCAR file:
```
NaPm2PrTe4
1.0
-3.7202 -2.1925 -1.1571
2.7593 -6.4747 3.3972
-4.0656 4.1137 5.2770
Na Pm Pr Te
1 2 1 4
Cartesian
-0.4805 -4.3336 1.1201
-3.8929 0.9606 2.0600
-0.6532 -1.1805 4.3371
0.0000 0.0000 0.0000
-2.1838 -1.7051 1.6161
-2.8427 -2.8485 5.9011
-2.3472 1.4515 4.7963
1.0408 -3.8126 3.8779
```

[17]
The following is a PBE calculation of a geometry-optimized Na2PmPrTe4 structure, from the Alexandria database.

Values from the calculation:
**SG**: P2/m (10)

POSCAR file:
```
Na2PmPrTe4
1.0
-4.3130 1.0151 1.0457
-0.1185 -5.8945 5.2331
2.4601 6.6976 3.6448
Na Pm Pr Te
2 1 1 4
Cartesian
-0.9265 3.8563 2.3453
1.1708 0.4016 4.4389
-2.2157 -2.4397 3.1394
0.0000 0.0000 0.0000
-1.5953 0.6450 2.7041
-0.3762 1.1732 7.2195
1.8429 3.5862 4.1197
0.4987 -2.7831 4.7582
```

[18]
The following is a PBE calculation of a geometry-optimized NaPm3Pr3Te8 structure, from the Alexandria database.

Values from the calculation:
**SG**: R-3m (166)

POSCAR file:
```
NaPm3Pr3Te8
1.0
8.9710 0.0000 0.0000
-4.4855 7.7691 -0.0271
0.0000 -5.1544 7.3523
Na Pm Pr Te
1 3 3 8
Cartesian
0.0000 -2.5772 3.6762
4.4855 -2.5772 3.6762
2.2428 1.3073 3.6626
-2.2428 1.3073 3.6626
0.0000 0.0000 0.0000
-2.2428 3.8845 -0.0135
2.2428 3.8845 -0.0135
0.0000 2.5963 1.8585
4.4855 0.0183 5.4667
4.4855 2.5307 1.8141
0.0000 0.0839 5.5111
6.6724 -1.2574 1.8273
-2.1869 3.8720 5.4979
2.2986 -1.2574 1.8273
2.1869 3.8720 5.4979
```

[19]
The following is a PBE calculation of a geometry-optimized NaPm3Pr2Te6 structure, from the Alexandria database.

Values from the calculation:
**SG**: C2/m (12)

POSCAR file:
```
NaPm3Pr2Te6
1.0
-2.3357 3.4336 1.6905
-7.2892 -2.6805 -4.6269
0.3321 -6.4939 7.7028
Na Pm Pr Te
1 3 2 6
Cartesian
-1.1679 1.7168 0.8453
-4.8125 0.3766 -1.4682
-2.9822 -1.9341 5.7539
-6.3106 -3.8066 -0.9876
-6.5204 -3.2048 3.4461
-2.7724 -2.5360 1.3203
-7.2680 -5.6541 1.4420
-5.7160 -1.4201 0.9326
-2.0248 -0.0866 3.3243
-1.8198 -0.6711 -1.1512
-7.4730 -5.0697 5.9175
-3.5768 -4.3207 3.8338
```

[20]
The following is a PBE calculation of a geometry-optimized NaPmPr2Te4 structure, from the Alexandria database.

Values from the calculation:
**SG**: P2/m (10)

POSCAR file:
```
NaPmPr2Te4
1.0
4.4923 0.0000 0.0000
0.0000 7.8420 0.1725
0.0000 -2.7244 7.3471
Na Pm Pr Te
1 1 2 4
Cartesian
2.2462 3.9210 0.0862
0.0000 0.0000 0.0000
2.2462 -1.3622 3.6735
0.0000 2.5588 3.7598
2.2462 1.2924 1.8353
2.2462 3.8252 5.6843
0.0000 -0.0866 5.5855
0.0000 5.2042 1.9341
```

Number 1: VASP energy -5.93 eV per atom, total moment 0.00 μB/cell. Number 2: VASP energy -5.38 eV per atom, total moment 0.00 μB/cell. Number 3: VASP energy -6.12 eV per atom, total moment 0.00 μB/cell. Number 4: VASP energy -5.38 eV per atom, total moment 0.00 μB/cell. Number 5: VASP energy -5.93 eV per atom, total moment 0.00 μB/cell. Number 6: VASP energy -5.74 eV per atom, total moment 0.00 μB/cell. Number 7: VASP energy -6.11 eV per atom, total moment 0.00 μB/cell. Number 8: VASP energy -4.14 eV per atom, total moment 0.00 μB/cell. Number 9: VASP energy -4.95 eV per atom, total moment 0.00 μB/cell. Number 10: VASP energy -5.54 eV per atom, total moment 0.00 μB/cell. Number 11: VASP energy -4.95 eV per atom, total moment 0.00 μB/cell. Number 12: VASP energy -4.95 eV per atom, total moment 0.00 μB/cell. Number 13: VASP energy -5.71 eV per atom, total moment 0.00 μB/cell. Number 14: VASP energy -5.63 eV per atom, total moment 0.00 μB/cell. Number 15: VASP energy -5.64 eV per atom, total moment 0.00 μB/cell. Number 16: VASP energy -4.91 eV per atom, total moment 0.00 μB/cell. Number 17: VASP energy -4.42 eV per atom, total moment 0.00 μB/cell. Number 18: VASP energy -5.07 eV per atom, total moment 0.00 μB/cell. Number 19: VASP energy -5.07 eV per atom, total moment 0.00 μB/cell. Number 20: VASP energy -4.91 eV per atom, total moment 0.00 μB/cell.